DFT (PBE with a Hubbard U) results for a geometry-optimized BaCoTe2O8 structure.

POSCAR file:
```
BaCoTe2O8
1.0
5.1887 0.9701 0.1703
1.0609 5.1728 0.1516
0.2063 0.2275 8.0417
Ba Co Te O
1 1 2 8
Cartesian
0.1031 0.1137 4.0209
0.0000 0.0000 0.0000
2.4752 2.4542 6.5344
3.9807 3.9162 1.8292
2.1498 4.2424 1.7586
4.8251 4.7446 0.4149
4.2780 2.0796 1.7687
4.3060 2.1280 6.6050
1.6308 1.6258 7.9487
2.1779 4.2908 6.5949
4.4577 4.3937 3.5485
1.9982 1.9767 4.8151
```

Volume   17.27 A^3/atom
Calculated total energy   -5.686 eV/atom
Magnetic moment   3.0 μB per formula unit
Theoretical density   4.642 g/cm³
SG   C2/m